Entry from Alexandria via LeMat-Bulk: crystalline PrGdAlSn at its relaxed geometry (PBE).

Properties
Crystal system: cubic
ρ: 6.8 g cm⁻³
Energy: -28.4 eV for the cell shown
Energy relative to the elements: -0.454 eV/atom

Cell lengths 5.3570, 5.3570, 5.3570 Å; angles 60.00, 60.00, 60.00 degrees
Closest atoms and distances in Å follow each position.
Sites, in units of the cell vectors:
Pr1 0.5000 0.5000 0.5000  4 Al 3.28, 4 Sn 3.28
Al1 0.7500 0.7500 0.7500  4 Pr 3.28, 4 Gd 3.28
Sn1 0.2500 0.2500 0.2500  4 Gd 3.28, 4 Pr 3.28
Gd1 0.0000 0.0000 0.0000  4 Sn 3.28, 4 Al 3.28

---

Entry from Alexandria via LeMat-Bulk: crystalline TbPrGdAl at its relaxed geometry (PBE).

Properties
Crystal system: cubic
ρ: 7.0 g cm⁻³
Energy: -27.5 eV for the cell shown
Energy relative to the elements: -0.059 eV/atom

Cell lengths 5.4430, 5.4430, 5.4430 Å; angles 60.00, 60.00, 60.00 degrees
Closest atoms and distances in Å follow each position.
Sites, in units of the cell vectors:
Tb1 0.5000 0.5000 0.5000  4 Gd 3.33, 4 Pr 3.33
Pr1 0.2500 0.2500 0.2500  4 Tb 3.33, 4 Al 3.33
Gd1 0.7500 0.7500 0.7500  4 Tb 3.33, 4 Al 3.33
Al1 0.0000 0.0000 0.0000  4 Pr 3.33, 4 Gd 3.33

---

Entry from Alexandria via LeMat-Bulk: crystalline PrGdAlTl at its relaxed geometry (PBE).

Properties
Crystal system: cubic
ρ: 8.0 g cm⁻³
Energy: -26.3 eV for the cell shown
Energy relative to the elements: -0.339 eV/atom

Cell lengths 5.3732, 5.3732, 5.3732 Å; angles 60.00, 60.00, 60.00 degrees
Closest atoms and distances in Å follow each position.
Sites, in units of the cell vectors:
Tl1 0.0000 0.0000 0.0000  4 Gd 3.29, 4 Pr 3.29
Gd1 0.2500 0.2500 0.2500  4 Al 3.29, 4 Tl 3.29
Pr1 0.7500 0.7500 0.7500  4 Al 3.29, 4 Tl 3.29
Al1 0.5000 0.5000 0.5000  4 Pr 3.29, 4 Gd 3.29

---

Entry from Alexandria via LeMat-Bulk: crystalline Gd2AlPt at its relaxed geometry (PBE).

Properties
Crystal system: tetragonal
ρ: 9.7 g cm⁻³
Excess energy over the best structure of this formula in the dataset: 0 meV per atom
Energy: -41.0 eV for the cell shown
Energy relative to the elements: -0.773 eV/atom

Cell lengths 3.6221, 3.6221, 6.9928 Å; angles 90.00, 90.00, 90.00 degrees
Closest atoms and distances in Å follow each position.
Sites, in units of the cell vectors:
Gd1 0.0000 0.0000 0.2379  4 Pt 3.05, 4 Al 3.15, 1 Gd 3.33
Gd2 0.0000 0.0000 0.7621  4 Pt 3.05, 4 Al 3.15, 1 Gd 3.33
Pt1 0.5000 0.5000 0.0000  8 Gd 3.05
Al1 0.5000 0.5000 0.5000  8 Gd 3.15, 2 Pt 3.50